1.
Computed, not measured: an optimized crystal structure of K2BaOs at the GGA-PBEsol level of DFT.

Output
E_form: 1187.6 meV/atom
space group: P4/mmm (123)
ΔE to the lowest computed polymorph: 0.0 meV/atom

Cell: 4.665 4.665 5.957 Å, 90.00 90.00 90.00°
Fractional coordinates of all 4 atoms:
K: 0.500 0.000 0.000
K: 0.000 0.500 0.000
Ba: 0.000 0.000 0.500
Os: 0.500 0.500 0.500


2.
Computed, not measured: an optimized crystal structure of K2BaOs at the GGA-PBEsol level of DFT.

Output
E_form: 1444.4 meV/atom
space group: R-3m (166)
ΔE to the lowest computed polymorph: 256.8 meV/atom

Cell: 3.224 3.224 13.352 Å, 83.07 83.07 60.00°
Fractional coordinates of all 4 atoms:
K: 0.233 0.233 0.302
K: 0.767 0.767 0.698
Os: 0.500 0.500 0.500
Ba: 0.000 0.000 0.000


3.
Computed, not measured: an optimized crystal structure of KBa2P at the GGA-PBEsol level of DFT.

Output
E_form: -594.5 meV/atom
space group: C2/m (12)

Cell: 4.577 4.577 12.064 Å, 100.85 90.00 120.00°
Fractional coordinates of all 4 atoms:
Ba: 0.785 0.571 0.855
Ba: 0.215 0.429 0.145
P: 0.500 0.000 0.000
K: 0.000 0.000 0.500


4.
Computed, not measured: an optimized crystal structure of KBaP at the GGA-PBEsol level of DFT.

Output
E_form: -680.6 meV/atom
space group: Pnma (62)

Cell: 5.294 8.252 9.342 Å, 90.00 90.00 90.00°
Fractional coordinates of all 12 atoms:
P: 0.250 0.277 0.091
P: 0.750 0.723 0.909
P: 0.250 0.777 0.409
P: 0.750 0.223 0.591
Ba: 0.250 0.162 0.411
Ba: 0.250 0.662 0.089
Ba: 0.750 0.338 0.911
Ba: 0.750 0.838 0.589
K: 0.750 0.988 0.175
K: 0.750 0.488 0.325
K: 0.250 0.012 0.825
K: 0.250 0.512 0.675


5.
Computed, not measured: an optimized crystal structure of K2BaP at the GGA-PBEsol level of DFT.

Output
E_form: 65.2 meV/atom
space group: P4/mmm (123)

Cell: 4.693 4.693 6.846 Å, 90.00 90.00 90.00°
Fractional coordinates of all 4 atoms:
P: 0.500 0.500 0.000
K: 0.000 0.000 0.799
K: 0.000 0.000 0.201
Ba: 0.500 0.500 0.500


6.
Computed, not measured: an optimized crystal structure of KBa3P at the GGA-PBEsol level of DFT.

Output
E_form: -408.7 meV/atom
space group: Pm-3m (221)

Cell: 6.392 6.392 6.392 Å, 90.00 90.00 90.00°
Fractional coordinates of all 5 atoms:
Ba: 0.000 0.500 0.000
Ba: 0.500 0.000 0.000
Ba: 0.000 0.000 0.500
K: 0.500 0.500 0.500
P: 0.000 0.000 0.000


7.
Computed, not measured: an optimized crystal structure of KBa2P at the GGA-PBEsol level of DFT.

Output
E_form: -384.1 meV/atom
space group: Immm (71)

Cell: 4.149 5.981 8.565 Å, 110.44 104.02 90.00°
Fractional coordinates of all 4 atoms:
P: 0.000 0.500 0.000
Ba: 0.354 0.354 0.708
Ba: 0.646 0.646 0.292
K: 0.500 0.000 0.000


8.
Computed, not measured: an optimized crystal structure of KBa2P at the GGA-PBEsol level of DFT.

Output
E_form: 69.4 meV/atom
space group: F-43m (216)

Cell: 5.654 5.654 5.654 Å, 60.00 60.00 60.00°
Fractional coordinates of all 4 atoms:
K: 0.500 0.500 0.500
P: 0.250 0.250 0.250
Ba: 0.750 0.750 0.750
Ba: 0.000 0.000 0.000


9.
Computed, not measured: an optimized crystal structure of KBa2P at the GGA-PBEsol level of DFT.

Output
E_form: -342.8 meV/atom
space group: P4mm (99)

Cell: 4.457 4.457 11.262 Å, 90.00 90.00 90.00°
Fractional coordinates of all 4 atoms:
P: 0.500 0.500 0.929
Ba: 0.500 0.500 0.185
Ba: 0.000 0.000 0.891
K: 0.000 0.000 0.495


10.
Computed, not measured: an optimized crystal structure of KBaPS2 at the GGA-PBEsol level of DFT.

Output
formation energy without anion corrections: 0.16 eV per atom
space group: P4/mmm (123)
ΔE to the lowest computed polymorph: 0.0 meV/atom

Cell: 5.073 5.350 5.350 Å, 90.00 90.00 90.00°
Fractional coordinates of all 5 atoms:
K: 0.000 0.000 0.000
Ba: 0.500 0.500 0.500
P: 0.500 0.000 0.000
S: 0.000 0.000 0.500
S: 0.000 0.500 0.000


11.
Computed, not measured: an optimized crystal structure of KBaPS2 at the GGA-PBEsol level of DFT.

Output
formation energy without anion corrections: 0.64 eV per atom
space group: P4/mmm (123)
ΔE to the lowest computed polymorph: 477.2 meV/atom

Cell: 5.285 5.285 5.806 Å, 90.00 90.00 90.00°
Fractional coordinates of all 5 atoms:
P: 0.500 0.500 0.500
Ba: 0.000 0.000 0.500
S: 0.500 0.000 0.000
S: 0.000 0.500 0.000
K: 0.000 0.000 0.000


12.
Computed, not measured: an optimized crystal structure of KBaPSe4 at the GGA-PBEsol level of DFT.

Output
formation energy without anion corrections: -1.01 eV per atom
space group: Pnma (62)

Cell: 6.935 10.146 12.223 Å, 90.00 90.00 90.00°
Fractional coordinates of all 28 atoms:
Se: 0.493 0.392 0.217
Se: 0.507 0.892 0.283
Se: 0.750 0.579 0.421
Se: 0.750 0.921 0.921
Se: 0.493 0.108 0.717
Se: 0.250 0.079 0.079
Se: 0.993 0.892 0.283
Se: 0.007 0.392 0.217
Se: 0.250 0.421 0.579
Se: 0.750 0.289 0.919
Se: 0.007 0.108 0.717
Se: 0.250 0.711 0.081
Se: 0.250 0.789 0.581
Se: 0.993 0.608 0.783
Se: 0.750 0.211 0.419
Se: 0.507 0.608 0.783
K: 0.250 0.333 0.874
K: 0.750 0.667 0.126
K: 0.750 0.833 0.626
K: 0.250 0.167 0.374
P: 0.250 0.895 0.177
P: 0.750 0.105 0.823
P: 0.750 0.395 0.323
P: 0.250 0.605 0.677
Ba: 0.250 0.883 0.857
Ba: 0.250 0.617 0.357
Ba: 0.750 0.117 0.143
Ba: 0.750 0.383 0.643


13.
Computed, not measured: an optimized crystal structure of K4Ba2SnP4 at the GGA-PBEsol level of DFT.

Output
E_form: -602.9 meV/atom
space group: Cc (9)

Cell: 7.748 10.219 10.219 Å, 119.76 91.12 91.12°
Fractional coordinates of all 22 atoms:
Ba: 0.388 0.943 0.469
Ba: 0.888 0.469 0.943
Ba: 0.378 0.522 0.468
Ba: 0.878 0.468 0.522
P: 0.122 0.799 0.607
P: 0.667 0.665 0.347
P: 0.101 0.798 0.194
P: 0.167 0.347 0.665
P: 0.084 0.392 0.198
P: 0.601 0.194 0.798
P: 0.622 0.607 0.799
P: 0.584 0.198 0.392
K: 0.884 0.053 0.525
K: 0.384 0.525 0.053
K: 0.702 0.859 0.150
K: 0.728 0.868 0.723
K: 0.202 0.150 0.859
K: 0.179 0.136 0.278
K: 0.679 0.278 0.136
K: 0.228 0.723 0.868
Sn: 0.998 0.670 0.337
Sn: 0.498 0.337 0.670


14.
Computed, not measured: an optimized crystal structure of KBaSnP2 at the GGA-PBEsol level of DFT.

Output
E_form: 681.9 meV/atom
space group: P4/mmm (123)

Cell: 5.412 5.412 5.400 Å, 90.00 90.00 90.00°
Fractional coordinates of all 5 atoms:
K: 0.000 0.000 0.000
P: 0.000 0.500 0.000
P: 0.500 0.000 0.000
Sn: 0.000 0.000 0.500
Ba: 0.500 0.500 0.500


15.
Computed, not measured: an optimized crystal structure of KBaZr2P at the GGA-PBEsol level of DFT.

Output
E_form: 131.2 meV/atom
space group: P4/mmm (123)

Cell: 5.042 5.042 6.026 Å, 90.00 90.00 90.00°
Fractional coordinates of all 5 atoms:
Zr: 0.500 0.000 0.000
Zr: 0.000 0.500 0.000
P: 0.000 0.000 0.000
K: 0.000 0.000 0.500
Ba: 0.500 0.500 0.500


16.
Computed, not measured: an optimized crystal structure of KBaPb4 at the GGA-PBEsol level of DFT.

Output
E_form: -326.0 meV/atom
space group: F-43m (216)

Cell: 6.605 6.605 6.605 Å, 60.00 60.00 60.00°
Fractional coordinates of all 6 atoms:
Pb: 0.376 0.873 0.376
Pb: 0.873 0.376 0.376
Pb: 0.376 0.376 0.376
Pb: 0.376 0.376 0.873
K: 0.000 0.000 0.000
Ba: 0.750 0.750 0.750


17.
Computed, not measured: an optimized crystal structure of K2BaPb at the GGA-PBEsol level of DFT.

Output
E_form: 54.2 meV/atom
space group: P4/mmm (123)

Cell: 4.785 4.785 7.917 Å, 90.00 90.00 90.00°
Fractional coordinates of all 4 atoms:
Ba: 0.500 0.500 0.500
Pb: 0.500 0.500 0.000
K: 0.000 0.000 0.797
K: 0.000 0.000 0.203


18.
Computed, not measured: an optimized crystal structure of KBaPb at the GGA-PBEsol level of DFT.

Output
E_form: -61.8 meV/atom
space group: P3m1 (156)

Cell: 4.204 4.204 9.261 Å, 90.00 90.00 120.00°
Fractional coordinates of all 3 atoms:
K: 0.333 0.667 0.613
Ba: 0.000 0.000 0.058
Pb: 0.667 0.333 0.329


19.
Computed, not measured: an optimized crystal structure of KBaPt2 at the GGA-PBEsol level of DFT.

Output
E_form: 305.3 meV/atom
space group: R-3m (166)

Cell: 3.702 3.702 9.426 Å, 78.67 78.67 60.00°
Fractional coordinates of all 4 atoms:
Ba: 0.500 0.500 0.500
K: 0.000 0.000 0.000
Pt: 0.754 0.754 0.738
Pt: 0.246 0.246 0.262


20.
Computed, not measured: an optimized crystal structure of KBa2Pt at the GGA-PBEsol level of DFT.

Output
E_form: -28.5 meV/atom
space group: Fm-3m (225)
ΔE to the lowest computed polymorph: 374.1 meV/atom

Cell: 5.724 5.724 5.724 Å, 60.00 60.00 60.00°
Fractional coordinates of all 4 atoms:
Ba: 0.750 0.750 0.750
Ba: 0.250 0.250 0.250
K: 0.500 0.500 0.500
Pt: 0.000 0.000 0.000


21.
Computed, not measured: an optimized crystal structure of KBaPt2 at the GGA-PBEsol level of DFT.

Output
E_form: 19.0 meV/atom
space group: Pmm2 (25)

Cell: 3.049 5.705 5.705 Å, 90.00 90.00 90.00°
Fractional coordinates of all 4 atoms:
Pt: 0.000 0.500 0.626
Pt: 0.000 0.000 0.124
K: 0.500 0.500 0.125
Ba: 0.500 0.000 0.624


22.
Computed, not measured: an optimized crystal structure of KBa3Pt at the GGA-PBEsol level of DFT.

Output
E_form: -310.7 meV/atom
space group: Pm-3m (221)

Cell: 6.295 6.295 6.295 Å, 90.00 90.00 90.00°
Fractional coordinates of all 5 atoms:
Ba: 0.500 0.000 0.000
Ba: 0.000 0.500 0.000
Ba: 0.000 0.000 0.500
Pt: 0.000 0.000 0.000
K: 0.500 0.500 0.500


23.
Computed, not measured: an optimized crystal structure of KBa2Pt at the GGA-PBEsol level of DFT.

Output
E_form: -402.6 meV/atom
space group: C2/m (12)
ΔE to the lowest computed polymorph: 0.0 meV/atom

Cell: 4.535 4.542 11.444 Å, 101.27 90.00 119.95°
Fractional coordinates of all 4 atoms:
K: 0.000 0.000 0.500
Ba: 0.785 0.569 0.852
Ba: 0.215 0.431 0.148
Pt: 0.500 0.000 0.000


24.
Computed, not measured: an optimized crystal structure of KRbBa3 at the GGA-PBEsol level of DFT.

Output
E_form: 486.0 meV/atom
space group: Pm-3m (221)

Cell: 7.242 7.242 7.242 Å, 90.00 90.00 90.00°
Fractional coordinates of all 5 atoms:
Ba: 0.000 0.500 0.000
Ba: 0.000 0.000 0.500
Ba: 0.500 0.000 0.000
Rb: 0.500 0.500 0.500
K: 0.000 0.000 0.000


25.
Computed, not measured: an optimized crystal structure of K3RbBa at the GGA-PBEsol level of DFT.

Output
E_form: 339.1 meV/atom
space group: Pm-3m (221)

Cell: 7.345 7.345 7.345 Å, 90.00 90.00 90.00°
Fractional coordinates of all 5 atoms:
K: 0.000 0.000 0.500
K: 0.500 0.000 0.000
K: 0.000 0.500 0.000
Rb: 0.000 0.000 0.000
Ba: 0.500 0.500 0.500


26.
Computed, not measured: an optimized crystal structure of KRbBaSb2 at the GGA-PBEsol level of DFT.

Output
formation energy without anion corrections: -0.01 eV per atom
space group: P4/mmm (123)

Cell: 5.557 6.105 6.105 Å, 90.00 90.00 90.00°
Fractional coordinates of all 5 atoms:
Rb: 0.500 0.000 0.000
K: 0.000 0.000 0.000
Sb: 0.000 0.500 0.000
Sb: 0.000 0.000 0.500
Ba: 0.500 0.500 0.500


27.
Computed, not measured: an optimized crystal structure of K2BaRh at the GGA-PBEsol level of DFT.

Output
E_form: 297.2 meV/atom
space group: Cm (8)

Cell: 4.646 4.683 10.188 Å, 102.72 90.00 119.74°
Fractional coordinates of all 4 atoms:
Rh: 0.485 0.970 0.450
K: 0.010 0.019 0.031
K: 0.217 0.433 0.657
Ba: 0.789 0.577 0.362


no.,total energy (eV/cell)
1,-11.88
2,-10.85
3,-13.60
4,-44.46
5,-9.95
6,-15.41
7,-12.76
8,-10.94
9,-12.59
10,-17.05
11,-14.67
12,-126.07
13,-85.78
14,-15.71
15,-26.60
16,-21.23
17,-8.20
18,-7.47
19,-15.99
20,-12.51
21,-17.13
22,-16.10
23,-14.01
24,-6.18
25,-4.88
26,-13.47
27,-11.37